No. 1
SrGa2Ir2 SCAN single point on PBEsol structure; symmetry = I4/mmm (139); calculated formation energy = -0.641 eV per atom; VASP energy = -200.369 eV/f.u.
1.0
4.272 0.000 0.000
0.000 4.272 0.000
-2.136 -2.136 5.208
Sr Ir Ga
1 2 2
direct
0.000 0.000 0.000 Sr
0.382 0.382 0.763 Ir
0.618 0.618 0.237 Ir
0.250 0.750 0.500 Ga
0.750 0.250 0.500 Ga

---

No. 2
K2CaSb SCAN single point on PBEsol structure; symmetry = Pmmm (47); formation energy without anion corrections = -0.70 eV per formula unit; VASP energy = -64.282 eV/f.u.
1.0
3.996 0.000 0.000
0.000 5.566 0.000
0.000 0.000 6.798
Ca K Sb
1 2 1
direct
0.500 0.500 0.500 Ca
0.000 0.000 0.782 K
0.000 0.000 0.218 K
0.500 0.500 0.000 Sb

---

No. 3
BeHgW4 SCAN single point on PBEsol structure; symmetry = F-43m (216); calculated formation energy = 0.983 eV per atom; VASP energy = -345.373 eV/f.u.
1.0
5.248 0.000 0.000
2.624 4.545 0.000
2.624 1.515 4.285
Be Hg W
1 1 4
direct
0.750 0.750 0.750 Be
0.000 0.000 0.000 Hg
0.376 0.376 0.376 W
0.376 0.376 0.873 W
0.873 0.376 0.376 W
0.376 0.873 0.376 W

---

No. 4
LiSn4P3O12 SCAN single point on PBEsol structure; symmetry = R3c (161); formation energy without anion corrections = -41.42 eV per formula unit; VASP energy = -293.461 eV/f.u.
1.0
-4.268 -5.631 6.055
4.321 -7.639 3.091
3.158 -0.139 9.247
Li Sn P O
2 8 6 24
direct
0.969 0.969 0.094 Li
0.469 0.469 0.594 Li
0.876 0.411 0.982 Sn
0.376 0.231 0.482 Sn
0.411 0.731 0.982 Sn
0.796 0.796 0.612 Sn
0.296 0.296 0.112 Sn
0.911 0.376 0.482 Sn
0.231 0.911 0.482 Sn
0.731 0.876 0.982 Sn
0.165 0.693 0.851 P
0.291 0.165 0.851 P
0.665 0.791 0.351 P
0.193 0.665 0.351 P
0.791 0.193 0.351 P
0.693 0.291 0.851 P
0.314 0.493 0.307 O
0.319 0.692 0.688 O
0.184 0.766 0.952 O
0.814 0.385 0.807 O
0.493 0.885 0.307 O
0.684 0.599 0.452 O
0.885 0.314 0.307 O
0.819 0.801 0.188 O
0.508 0.385 0.952 O
0.266 0.684 0.452 O
0.385 0.156 0.952 O
0.385 0.993 0.807 O
0.885 0.008 0.452 O
0.801 0.192 0.188 O
0.099 0.184 0.952 O
0.656 0.885 0.452 O
0.692 0.301 0.688 O
0.156 0.508 0.952 O
0.301 0.319 0.688 O
0.766 0.099 0.952 O
0.192 0.819 0.188 O
0.599 0.266 0.452 O
0.008 0.656 0.452 O
0.993 0.814 0.807 O

---

No. 5
Ba2LaCd SCAN single point on PBEsol structure; symmetry = P4mm (99); calculated formation energy = -0.150 eV per atom; energy above the lowest structure with this stoichiometry = 0.00 kcal/mol of atoms; VASP energy = -153.221 eV/f.u.
1.0
4.071 0.000 0.000
0.000 4.071 0.000
0.000 0.000 9.849
La Ba Cd
1 2 1
direct
0.500 0.500 0.693 La
0.000 0.000 0.964 Ba
0.500 0.500 0.311 Ba
0.000 0.000 0.531 Cd

---

No. 6
DyNiO3 SCAN single point on PBEsol structure; symmetry = Pnma (62); formation energy without anion corrections = -13.11 eV per formula unit; VASP energy = -95.772 eV/f.u.
1.0
5.112 0.000 0.000
0.000 5.499 0.000
0.000 0.000 7.293
Dy Ni O
4 4 12
direct
0.022 0.923 0.750 Dy
0.522 0.577 0.250 Dy
0.478 0.423 0.750 Dy
0.978 0.077 0.250 Dy
0.500 0.000 0.500 Ni
0.000 0.500 0.500 Ni
0.000 0.500 0.000 Ni
0.500 0.000 0.000 Ni
0.694 0.302 0.452 O
0.194 0.198 0.548 O
0.806 0.802 0.048 O
0.306 0.698 0.952 O
0.306 0.698 0.548 O
0.806 0.802 0.452 O
0.194 0.198 0.952 O
0.694 0.302 0.048 O
0.099 0.474 0.250 O
0.599 0.026 0.750 O
0.401 0.974 0.250 O
0.901 0.526 0.750 O

---

No. 7
SiMoPCl2 SCAN single point on PBEsol structure; symmetry = P4/mmm (123); formation energy without anion corrections = 2.98 eV per formula unit; VASP energy = -68.272 eV/f.u.
1.0
4.482 0.000 0.000
0.000 4.482 0.000
0.000 0.000 4.843
P Mo Si Cl
1 1 1 2
direct
0.000 0.000 0.500 P
0.500 0.500 0.500 Mo
0.000 0.000 0.000 Si
0.000 0.500 0.000 Cl
0.500 0.000 0.000 Cl

---

No. 8
Mg3Ti2Al18 SCAN single point on PBEsol structure; symmetry = Fd-3m (227); calculated formation energy = -0.177 eV per atom; VASP energy = -190.580 eV/f.u.
1.0
10.371 0.000 0.000
5.186 8.982 0.000
5.186 2.994 8.468
Mg Ti Al
6 4 36
direct
0.750 0.750 0.750 Mg
0.625 0.625 0.625 Mg
0.625 0.625 0.125 Mg
0.500 0.500 0.500 Mg
0.125 0.625 0.625 Mg
0.625 0.125 0.625 Mg
0.125 0.125 0.625 Ti
0.125 0.625 0.125 Ti
0.625 0.125 0.125 Ti
0.125 0.125 0.125 Ti
0.418 0.950 0.682 Al
0.112 0.112 0.388 Al
0.388 0.112 0.112 Al
0.418 0.950 0.950 Al
0.138 0.862 0.138 Al
0.300 0.568 0.300 Al
0.950 0.950 0.682 Al
0.682 0.950 0.418 Al
0.300 0.832 0.568 Al
0.138 0.862 0.862 Al
0.862 0.138 0.862 Al
0.568 0.300 0.300 Al
0.300 0.568 0.832 Al
0.568 0.300 0.832 Al
0.950 0.682 0.418 Al
0.862 0.862 0.138 Al
0.682 0.950 0.950 Al
0.300 0.300 0.832 Al
0.862 0.138 0.138 Al
0.950 0.418 0.682 Al
0.300 0.300 0.568 Al
0.950 0.950 0.418 Al
0.950 0.418 0.950 Al
0.388 0.112 0.388 Al
0.300 0.832 0.300 Al
0.832 0.568 0.300 Al
0.950 0.682 0.950 Al
0.112 0.388 0.388 Al
0.112 0.388 0.112 Al
0.418 0.682 0.950 Al
0.388 0.388 0.112 Al
0.682 0.418 0.950 Al
0.832 0.300 0.300 Al
0.138 0.138 0.862 Al
0.568 0.832 0.300 Al
0.832 0.300 0.568 Al